A relaxed structure of CuSiRh2, computed with PBE-GGA.

## Properties
Calculated density, g cm⁻³: 9.12
SG: No. 12
E_form (uncorrected), meV per atom: -328

Lattice parameters (Å, degrees): 4.415 4.415 4.761 73.82 73.82 37.64
Fractional coordinates of all 4 atoms:
Rh: 0.021 0.021 0.987
Si: 0.750 0.750 0.750
Rh: 0.479 0.479 0.513
Cu: 0.250 0.250 0.250

A relaxed structure of KIn2RuPb, computed with PBE-GGA.

## Properties
Calculated density, g cm⁻³: 6.51
SG: No. 123
Formation energy from the elements, eV per atom: 0.0012

Lattice parameters (Å, degrees): 5.264 5.264 5.312 90.00 90.00 90.00
Fractional coordinates of all 5 atoms:
In: 0.500 0.000 0.000
Pb: 0.000 0.000 0.500
Ru: 0.000 0.000 0.000
K: 0.500 0.500 0.500
In: 0.000 0.500 0.000

A relaxed structure of Cs3TeIr, computed with PBE-GGA.

## Properties
Calculated density, g cm⁻³: 5.62
Relative energy among the computed polymorphs, meV per atom: 0
SG: No. 221
E_form (uncorrected), meV per atom: 238

Lattice parameters (Å, degrees): 5.966 5.966 5.966 90.00 90.00 90.00
Each line ends with the local moment (μB).
Fractional coordinates of all 5 atoms:
Te: 0.500 0.500 0.500  -0.01
Cs: 0.500 0.000 0.000  0.00
Ir: 0.000 0.000 0.000  -0.10
Cs: 0.000 0.000 0.500  0.00
Cs: 0.000 0.500 0.000  -0.01

A relaxed structure of ZrTl2Pd8, computed with PBE-GGA.

## Properties
Calculated density, g cm⁻³: 11.12
SG: No. 12
Formation energy from the elements, eV per atom: -0.2349

Lattice parameters (Å, degrees): 4.567 7.308 7.570 61.14 78.60 65.84
Fractional coordinates of all 11 atoms:
Tl: 0.000 0.693 0.614
Zr: 0.500 0.000 0.000
Pd: 0.875 0.308 0.790
Pd: 0.500 0.801 0.399
Tl: 0.000 0.307 0.386
Pd: 0.500 0.199 0.601
Pd: 0.125 0.903 0.790
Pd: 0.689 0.603 0.000
Pd: 0.125 0.692 0.210
Pd: 0.311 0.397 0.000
Pd: 0.875 0.097 0.210

A relaxed structure of Zr4Co2Hg5, computed with PBE-GGA.

## Properties
Calculated density, g cm⁻³: 11.07
SG: No. 10
Formation energy from the elements, eV per atom: -0.2312

Lattice parameters (Å, degrees): 3.313 7.461 9.039 93.88 90.00 90.00
Fractional coordinates of all 11 atoms:
Hg: 0.000 0.160 0.139
Hg: 0.000 0.457 0.664
Hg: 0.000 0.840 0.861
Zr: 0.500 0.824 0.165
Hg: 0.000 0.500 0.000
Hg: 0.000 0.543 0.336
Zr: 0.500 0.794 0.560
Co: 0.000 0.922 0.367
Zr: 0.500 0.206 0.440
Co: 0.000 0.078 0.633
Zr: 0.500 0.176 0.835

A relaxed structure of Al2TcMo, computed with PBE-GGA.

## Properties
Calculated density, g cm⁻³: 7.01
Relative energy among the computed polymorphs, meV per atom: 110
SG: No. 5
Formation energy from the elements, eV per atom: -0.2505

Lattice parameters (Å, degrees): 4.376 4.376 4.344 119.97 119.97 90.35
Fractional coordinates of all 4 atoms:
Al: 0.250 0.750 0.500
Al: 0.000 0.000 0.000
Tc: 0.749 0.251 0.500
Mo: 0.501 0.499 0.000

A relaxed structure of La2TcBr, computed with PBE-GGA.

## Properties
Calculated density, g cm⁻³: 7.64
Relative energy among the computed polymorphs, meV per atom: 521
SG: No. 119
E_form (uncorrected), meV per atom: -132

Lattice parameters (Å, degrees): 6.414 6.414 6.414 142.06 142.06 54.73
Fractional coordinates of all 4 atoms:
Br: 0.750 0.250 0.500
Tc: 0.500 0.500 0.000
La: 0.250 0.750 0.500
La: 0.000 0.000 0.000

A relaxed structure of K5Ag, computed with PBE-GGA.

## Properties
Calculated density, g cm⁻³: 1.52
Relative energy among the computed polymorphs, meV per atom: 54
SG: No. 38
Formation energy from the elements, eV per atom: 0.0803

Lattice parameters (Å, degrees): 9.624 9.624 6.497 90.00 90.00 146.49
Fractional coordinates of all 6 atoms:
K: 0.472 0.528 0.500
K: 0.132 0.868 0.500
Ag: 0.972 0.028 0.000
K: 0.609 0.391 0.000
K: 0.813 0.187 0.500
K: 0.335 0.665 0.000

A relaxed structure of RuSe, computed with PBE-GGA.

## Properties
Calculated density, g cm⁻³: 6.21
SG: No. 176
E_form (uncorrected), meV per atom: 26

Lattice parameters (Å, degrees): 9.244 9.244 3.906 90.00 90.00 120.00
Fractional coordinates of all 12 atoms:
Se: 0.621 0.714 0.750
Ru: 0.563 0.940 0.750
Se: 0.379 0.286 0.250
Se: 0.714 0.092 0.250
Ru: 0.623 0.563 0.250
Se: 0.286 0.908 0.750
Se: 0.092 0.379 0.750
Ru: 0.437 0.060 0.250
Ru: 0.060 0.623 0.750
Ru: 0.940 0.377 0.250
Se: 0.908 0.621 0.250
Ru: 0.377 0.437 0.750

A relaxed structure of TiP2O8, computed with PBE-GGA.

## Properties
Calculated density, g cm⁻³: 2.55
Relative energy among the computed polymorphs, meV per atom: 13
SG: No. 164
E_form (uncorrected), meV per atom: -2022

Lattice parameters (Å, degrees): 6.424 5.273 5.273 120.00 90.00 90.00
Each line ends with the local moment (μB).
Fractional coordinates of all 11 atoms:
O: 0.672 0.349 0.175  0.14
O: 0.672 0.825 0.175  0.14
O: 0.328 0.175 0.825  0.14
Ti: 0.500 0.000 0.000  -0.07
O: 0.328 0.651 0.825  0.14
P: 0.247 0.333 0.667  -0.02
O: 0.672 0.825 0.651  0.14
P: 0.753 0.667 0.333  -0.02
O: 0.992 0.667 0.333  0.47
O: 0.328 0.175 0.349  0.14
O: 0.008 0.333 0.667  0.47

A relaxed structure of Tb2HoSe3, computed with PBE-GGA.

## Properties
Calculated density, g cm⁻³: 8.29
SG: No. 71
E_form (uncorrected), meV per atom: -1754

Lattice parameters (Å, degrees): 4.101 5.756 7.059 114.06 106.89 90.00
Fractional coordinates of all 6 atoms:
Tb: 0.169 0.169 0.838
Se: 0.500 0.000 0.500
Se: 0.836 0.336 0.172
Ho: 0.500 0.500 0.500
Se: 0.164 0.664 0.828
Tb: 0.831 0.831 0.162

A relaxed structure of MnAl2NiH, computed with PBE-GGA.

## Properties
Calculated density, g cm⁻³: 5.36
Calculated total energy, hartree per atom: -0.1977
SG: No. 123

Lattice parameters (Å, degrees): 3.983 3.983 3.294 90.00 90.00 90.00
Each line ends with the local moment (μB).
Fractional coordinates of all 5 atoms:
Al: 0.000 0.500 0.000  -0.02
H: 0.000 0.000 0.000  -0.01
Al: 0.500 0.000 0.000  -0.02
Mn: 0.000 0.000 0.500  1.49
Ni: 0.500 0.500 0.500  -0.05

A relaxed structure of CeTmMnCd, computed with PBE-GGA.

## Properties
Calculated density, g cm⁻³: 8.21
SG: No. 216
Formation energy from the elements, eV per atom: 0.0405

Lattice parameters (Å, degrees): 5.147 5.147 5.147 60.00 60.00 60.00
Each line ends with the local moment (μB).
Fractional coordinates of all 4 atoms:
Tm: 0.000 0.000 0.000  -0.37
Mn: 0.250 0.250 0.250  3.35
Cd: 0.750 0.750 0.750  -0.02
Ce: 0.500 0.500 0.500  -0.85

A relaxed structure of Pr2Nd2Ho3, computed with PBE-GGA.

## Properties
Calculated density, g cm⁻³: 7.52
Relative energy among the computed polymorphs, meV per atom: 0
SG: No. 2
Formation energy from the elements, eV per atom: 0.0172

Lattice parameters (Å, degrees): 9.571 6.269 13.047 103.86 90.03 139.66
Fractional coordinates of all 14 atoms:
Ho: 0.500 0.287 0.571
Pr: 0.504 0.150 0.288
Pr: 0.999 0.711 0.928
Pr: 0.001 0.289 0.072
Pr: 0.496 0.850 0.712
Ho: 0.997 0.139 0.783
Nd: 0.498 0.429 0.855
Ho: 0.003 0.861 0.217
Nd: 0.003 0.431 0.360
Nd: 0.502 0.571 0.145
Ho: 0.000 0.000 0.500
Ho: 0.500 0.000 0.000
Ho: 0.500 0.713 0.429
Nd: 0.997 0.569 0.640

A relaxed structure of Er3InSn2, computed with PBE-GGA.

## Properties
Calculated density, g cm⁻³: 8.96
SG: No. 15
Formation energy from the elements, eV per atom: -0.5389

Lattice parameters (Å, degrees): 6.270 6.292 8.777 101.09 110.93 90.00
Fractional coordinates of all 12 atoms:
In: 0.880 0.750 0.000
Er: 0.945 0.407 0.659
Er: 0.055 0.593 0.341
Er: 0.626 0.250 0.000
Sn: 0.551 0.564 0.324
In: 0.120 0.250 0.000
Sn: 0.226 0.936 0.676
Sn: 0.449 0.436 0.676
Sn: 0.774 0.064 0.324
Er: 0.714 0.907 0.659
Er: 0.286 0.093 0.341
Er: 0.374 0.750 0.000

A relaxed structure of La5IrSe4, computed with PBE-GGA.

## Properties
Calculated density, g cm⁻³: 7.09
SG: No. 139
E_form (uncorrected), meV per atom: -1737

Lattice parameters (Å, degrees): 4.316 4.316 15.435 98.04 98.04 90.00
Fractional coordinates of all 10 atoms:
Se: 0.196 0.196 0.392
Se: 0.804 0.804 0.608
La: 0.500 0.500 0.000
Se: 0.602 0.602 0.203
La: 0.907 0.907 0.814
Ir: 0.000 0.000 0.000
La: 0.093 0.093 0.186
La: 0.297 0.297 0.595
Se: 0.398 0.398 0.797
La: 0.703 0.703 0.405

A relaxed structure of MnCoSn2, computed with PBE-GGA.

## Properties
Calculated density, g cm⁻³: 7.49
Relative energy among the computed polymorphs, meV per atom: 32
SG: No. 122
Formation energy from the elements, eV per atom: 0.4362

Lattice parameters (Å, degrees): 7.350 7.350 5.944 51.81 51.81 90.00
Each line ends with the local moment (μB).
Fractional coordinates of all 8 atoms:
Mn: 0.500 0.500 0.000  3.67
Co: 0.750 0.250 0.500  0.24
Sn: 0.375 0.339 0.750  -0.07
Sn: 0.661 0.125 0.250  -0.07
Mn: 0.250 0.750 0.500  3.67
Sn: 0.875 0.911 0.750  -0.07
Sn: 0.089 0.625 0.250  -0.07
Co: 0.000 0.000 0.000  0.24

A relaxed structure of RbBi4Rh, computed with PBE-GGA.

## Properties
Calculated density, g cm⁻³: 8.23
Relative energy among the computed polymorphs, meV per atom: 0
SG: No. 140
Formation energy from the elements, eV per atom: -0.2011

Lattice parameters (Å, degrees): 6.561 6.561 10.663 72.11 72.11 89.99
Fractional coordinates of all 12 atoms:
Bi: 0.643 0.528 0.329
Bi: 0.143 0.643 0.329
Bi: 0.472 0.972 0.671
Bi: 0.528 0.028 0.329
Rb: 0.000 0.000 0.000
Bi: 0.028 0.143 0.329
Rh: 0.250 0.250 0.500
Bi: 0.357 0.472 0.671
Rb: 0.500 0.500 0.000
Bi: 0.972 0.857 0.671
Rh: 0.750 0.750 0.500
Bi: 0.857 0.357 0.671

A relaxed structure of GaAgC2, computed with PBE-GGA.

## Properties
Calculated density, g cm⁻³: 5.99
SG: No. 122
Formation energy from the elements, eV per atom: 1.6467

Lattice parameters (Å, degrees): 4.881 4.881 5.828 65.24 65.24 90.00
Fractional coordinates of all 8 atoms:
C: 0.148 0.625 0.250
Ga: 0.500 0.500 0.000
Ag: 0.000 0.000 0.000
C: 0.602 0.125 0.250
C: 0.375 0.398 0.750
Ga: 0.250 0.750 0.500
C: 0.875 0.852 0.750
Ag: 0.750 0.250 0.500

A relaxed structure of Y2Tm5Ni2, computed with PBE-GGA.

## Properties
Calculated density, g cm⁻³: 8.05
SG: No. 64
Formation energy from the elements, eV per atom: -0.1657

Lattice parameters (Å, degrees): 6.908 6.868 10.494 90.00 70.78 90.00
Fractional coordinates of all 18 atoms:
Tm: 0.784 0.826 0.784
Tm: 0.932 0.326 0.784
Tm: 0.432 0.174 0.784
Tm: 0.568 0.826 0.216
Tm: 0.068 0.674 0.216
Y: 0.769 0.000 0.462
Y: 0.231 0.000 0.538
Tm: 0.000 0.000 0.000
Ni: 0.122 0.379 0.000
Tm: 0.216 0.174 0.216
Tm: 0.716 0.326 0.216
Tm: 0.500 0.500 0.000
Ni: 0.622 0.121 0.000
Tm: 0.284 0.674 0.784
Ni: 0.378 0.879 0.000
Ni: 0.878 0.621 0.000
Y: 0.731 0.500 0.538
Y: 0.269 0.500 0.462

A relaxed structure of AcTa2Tl3O9, computed with PBE-GGA.

## Properties
Calculated density, g cm⁻³: 9.09
SG: No. 164
E_form (uncorrected), meV per atom: -2031

Lattice parameters (Å, degrees): 5.945 5.945 8.035 90.00 90.00 120.00
Fractional coordinates of all 15 atoms:
O: 0.349 0.175 0.713
Tl: 0.667 0.333 0.251
O: 0.175 0.349 0.287
O: 0.000 0.500 0.000
Tl: 0.333 0.667 0.749
Ac: 0.000 0.000 0.500
O: 0.500 0.000 0.000
Ta: 0.333 0.667 0.165
O: 0.825 0.651 0.713
Ta: 0.667 0.333 0.835
O: 0.175 0.825 0.287
O: 0.651 0.825 0.287
O: 0.825 0.175 0.713
O: 0.500 0.500 0.000
Tl: 0.000 0.000 0.000

A relaxed structure of MnSiMoPd, computed with PBE-GGA.

## Properties
Calculated density, g cm⁻³: 8.49
SG: No. 216
E_form (uncorrected), meV per atom: -227

Lattice parameters (Å, degrees): 4.290 4.290 4.290 60.00 60.00 60.00
Each line ends with the local moment (μB).
Fractional coordinates of all 4 atoms:
Mn: 0.750 0.750 0.750  2.98
Mo: 0.000 0.000 0.000  -0.54
Si: 0.250 0.250 0.250  0.05
Pd: 0.500 0.500 0.500  0.20

A relaxed structure of Sm8Tl3CSe3, computed with PBE-GGA.

## Properties
Calculated density, g cm⁻³: 7.63
SG: No. 166
E_form (uncorrected), meV per atom: -870

Lattice parameters (Å, degrees): 8.103 8.104 9.183 116.21 89.99 119.99
Fractional coordinates of all 15 atoms:
Sm: 0.211 0.422 0.695
Sm: 0.260 0.519 0.279
Tl: 0.000 0.500 0.000
Se: 0.500 0.000 0.500
Sm: 0.789 0.016 0.305
Se: 0.000 0.500 0.500
Sm: 0.789 0.578 0.305
Sm: 0.211 0.984 0.695
Tl: 0.000 0.000 0.000
Se: 0.500 0.500 0.500
Sm: 0.773 0.984 0.695
Sm: 0.740 0.481 0.721
C: 0.000 0.000 0.500
Sm: 0.227 0.016 0.305
Tl: 0.500 0.500 0.000